No. 1
Material: SnTe2Au2
Method: DFT, PBE-GGA
State: relaxed

POSCAR file:
```
SnTe2Au2
1.0
-0.931 7.036 -3.577
-2.198 -3.691 -6.687
-3.743 0.102 1.174
Te Au Sn
4 4 2
Cartesian
-4.301 1.861 -7.314 Te
-3.323 4.624 -4.437 Te
-2.571 1.587 -1.776 Te
-3.549 -1.176 -4.654 Te
-2.275 -0.587 -7.204 Au
-2.187 3.862 -7.306 Au
-0.853 3.933 -3.061 Au
-0.942 -0.516 -2.958 Au
-1.564 1.673 -5.132 Sn
0.000 0.000 0.000 Sn
```

Results
- Excess energy over the best structure of this formula in the dataset: 140 meV per atom
- ρ: 10286 kg/m3
- Total moment: 0.00 μB per cell
- Density of states at the Fermi level: 0.50 states/eV per atom
- Formation energy from raw total energies: 0.05 eV/atom



No. 2
Material: Sn3Te12Au5
Method: DFT, PBE-GGA
State: relaxed

POSCAR file:
```
Sn3Te12Au5
1.0
14.963 0.000 0.000
-4.988 14.107 0.000
-4.988 -7.053 12.217
Te Au Sn
48 20 12
Cartesian
6.372 2.044 1.604 Te
1.903 -1.764 11.099 Te
2.297 9.373 4.990 Te
-3.210 7.977 9.645 Te
-1.778 -0.837 5.622 Te
-4.791 5.482 11.731 Te
-5.578 -0.086 10.131 Te
6.097 -1.115 7.077 Te
4.272 -1.761 4.022 Te
-0.716 0.924 2.572 Te
6.891 6.967 2.086 Te
1.384 1.115 7.077 Te
-3.878 12.063 1.604 Te
9.259 0.837 5.622 Te
7.678 12.535 0.486 Te
7.678 3.892 4.504 Te
-2.690 3.162 7.713 Te
3.210 1.761 4.022 Te
8.865 -5.009 10.613 Te
3.084 8.817 1.118 Te
8.197 -0.924 2.572 Te
6.765 7.890 6.595 Te
-1.110 8.169 5.140 Te
5.704 6.130 9.645 Te
10.565 7.140 2.086 Te
-5.184 10.215 4.504 Te
4.791 2.320 7.227 Te
3.084 5.203 0.968 Te
-4.272 6.216 6.595 Te
-1.384 5.009 10.613 Te
-1.384 -3.894 8.681 Te
1.903 1.850 11.249 Te
9.778 1.572 0.486 Te
-6.097 3.894 8.681 Te
6.372 10.947 3.536 Te
5.578 1.764 11.099 Te
11.085 3.160 3.536 Te
-0.590 8.904 0.968 Te
-1.903 0.086 10.131 Te
5.578 -1.850 11.249 Te
0.716 8.814 8.195 Te
3.604 5.938 5.140 Te
10.172 -3.162 7.713 Te
0.197 4.733 4.990 Te
-2.690 -5.482 11.731 Te
2.690 -2.320 7.227 Te
-0.590 5.290 1.118 Te
1.778 5.292 8.195 Te
7.481 0.000 0.000 Au
-2.494 7.053 0.000 Au
1.247 -3.527 9.163 Au
0.000 0.000 0.000 Au
1.247 4.408 10.690 Au
-3.741 7.935 4.581 Au
6.234 3.527 9.163 Au
3.741 2.645 1.527 Au
3.741 10.580 3.054 Au
-2.494 -3.527 6.108 Au
-4.988 3.527 6.108 Au
8.728 -0.882 7.636 Au
6.234 -4.408 10.690 Au
4.988 7.053 0.000 Au
-1.247 3.527 3.054 Au
2.494 3.527 6.108 Au
6.234 6.172 4.581 Au
-1.247 0.882 7.636 Au
4.988 -3.527 6.108 Au
-1.247 11.462 1.527 Au
8.728 4.408 1.527 Sn
-6.234 7.053 9.163 Sn
11.222 0.000 3.054 Sn
1.247 -0.882 4.581 Sn
6.234 0.882 4.581 Sn
8.728 9.698 1.527 Sn
1.247 7.053 3.054 Sn
-1.247 6.172 7.636 Sn
-3.741 -2.645 10.690 Sn
3.741 7.935 7.636 Sn
3.741 0.000 9.163 Sn
-3.741 2.645 10.690 Sn
```

Results
- ρ: 7398 kg/m3
- Total moment: 0.00 μB per cell
- Density of states at the Fermi level: 0.94 states/eV per atom
- Formation energy from raw total energies: 0.06 eV/atom



No. 3
Material: SnTe2Au2
Method: DFT, PBE-GGA
State: relaxed

POSCAR file:
```
SnTe2Au2
1.0
-3.070 -2.367 2.536
-1.363 -4.215 -1.354
4.318 -5.370 4.446
Sn Au Te
1 2 2
Cartesian
0.000 0.000 0.000 Sn
-1.720 -5.065 1.652 Au
1.605 -6.887 3.976 Au
0.237 -3.134 1.593 Te
-0.352 -8.819 4.035 Te
```

Results
- Excess energy over the best structure of this formula in the dataset: 0 meV per atom
- ρ: 8850 kg/m3
- Total moment: 0.00 μB per cell
- Density of states at the Fermi level: 0.09 states/eV per atom
- Formation energy from raw total energies: -0.09 eV/atom